Below is a relaxed TmSbRh crystal, with properties calculated at the GGA-PBE level.

Output
- Formation energy (no corrections): -0.881 eV per atom
- E_tot: -6.20 eV per atom

Unit cell a=4.5789 b=4.5789 c=3.4624 alpha=90.00 beta=90.00 gamma=120.00
Last column: nearest neighbours and their distance in Å.
Space group P-6m2 (No. 187)
Asymmetric unit:
Tm1 0.0000 0.0000 0.0000 x1  6 Sb 3.16, 6 Rh 3.16, 2 Tm 3.46
Sb1 0.6667 0.3333 0.5000 x1  3 Rh 2.64
Rh1 0.3333 0.6667 0.5000 x1  3 Sb 2.64